A plane-wave DFT calculation with GGA-PBE was carried out for LiPmY after structural relaxation. Values from VASP.

SG: C2/m
Mass density (kg/m³): 4217
Formation energy (eV per atom): 0.197
Raw total energy (eV for the cell shown): -25.075
Energy above the lowest structure with this stoichiometry (eV per atom): 0.133
Total magnetic moment (μB/f.u.): 0.00

Structure (Quantum ESPRESSO input):
```
&SYSTEM
  ibrav = 0, nat = 6, ntyp = 3
/
ATOMIC_SPECIES
Y 88.91 Y.upf
Pm 145.00 Pm.upf
Li 6.94 Li.upf
ATOMIC_POSITIONS angstrom
Y 0.530 -2.219 -5.082
Y -2.984 -7.162 -4.904
Pm -1.936 -0.646 -3.235
Pm -0.518 -8.735 -6.751
Li -2.307 -3.900 -4.149
Li -0.147 -5.481 -5.837
CELL_PARAMETERS angstrom
-1.535 0.987 -2.890
3.552 -2.944 -4.913
-4.470 -7.424 -2.183
```